The following is a PBE calculation of an optimized crystal structure of Be2NbV, from Alexandria.

```
16
Lattice="5.808 0.000 0.000 0.000 5.808 0.000 0.000 0.000 5.808" Properties=species:S:1:pos:R:3 pbc="T T T"
Be 1.452 1.452 1.452
Be 1.452 1.452 4.356
Be 1.452 4.356 1.452
Be 1.452 4.356 4.356
Be 4.356 1.452 1.452
Be 4.356 1.452 4.356
Be 4.356 4.356 1.452
Be 4.356 4.356 4.356
Nb 0.000 0.000 0.000
Nb 0.000 2.904 2.904
Nb 2.904 0.000 2.904
Nb 2.904 2.904 0.000
V 0.000 0.000 2.904
V 0.000 2.904 0.000
V 2.904 0.000 0.000
V 2.904 2.904 2.904
```

energy of formation	0.3	eV per formula unit
energy above the most stable polymorph in this dataset	0.104	eV per atom
spin magnetization	1.904	Bohr magnetons per cell



The following is a PBE calculation of an optimized crystal structure of BeMoRh, from Alexandria.

```
3
Lattice="4.060 0.000 0.000 -2.030 3.516 0.000 0.000 0.000 2.728" Properties=species:S:1:pos:R:3 pbc="T T T"
Be 0.000 0.000 0.000
Mo 2.030 1.172 1.364
Rh 0.000 2.344 0.000
```

energy of formation	-0.6	eV per formula unit
energy above the most stable polymorph in this dataset	0.111	eV per atom
spin magnetization	0.000	Bohr magnetons per cell



> Number 1 is which compound?

Be2NbV



> The highest energy of formation belongs to which entry?

Be2NbV



> energy of formation of number 1 (Be2NbV)?

0.3 eV per formula unit



> Look up the energy of formation of the second one.

-0.6 eV per formula unit